Record 1
DFT (PBE) results for a relaxed AgTe2Ir crystal.

The space group is F-43m (No. 216) and the conventional cell measures 6.9957, 6.9957 and 6.9957 Å, with angles of 90.00, 90.00 and 90.00 degrees. The distinct sites, in fractional coordinates, are Ag at (0.0000, 0.0000, 0.0000), Te at (0.0000, 0.0000, 0.5000), Te at (0.2500, 0.2500, 0.7500) and Ir at (0.2500, 0.2500, 0.2500).

For the total magnetic moment, the calculation gives 0.0 μB per formula unit.

=====

Record 2
DFT (PBE) results for a relaxed AgTeIr2 crystal.

The space group is F-43m (No. 216) and the conventional cell measures 6.5343, 6.5343 and 6.5343 Å, with angles of 90.00, 90.00 and 90.00 degrees. The distinct sites, in fractional coordinates, are Ag at (0.0000, 0.0000, 0.0000), Te at (0.2500, 0.2500, 0.7500), Ir at (0.0000, 0.0000, 0.5000) and Ir at (0.2500, 0.2500, 0.2500).

For the total magnetic moment, the calculation gives 0.0 μB per formula unit.

=====

Record 3
DFT (PBE) results for a relaxed TlAg3Te4Ir crystal.

The space group is P-43m (No. 215) and the conventional cell measures 6.6427, 6.6427 and 6.6427 Å, with angles of 90.00, 90.00 and 90.00 degrees. The distinct sites, in fractional coordinates, are Tl at (0.0000, 0.0000, 0.0000), Ag at (0.0000, 0.5000, 0.5000), Te at (0.2729, 0.2729, 0.2729) and Ir at (0.5000, 0.5000, 0.5000).

For the total magnetic moment, the calculation gives 0.0 μB per formula unit.

=====

Record 4
DFT (PBE) results for a relaxed TlAgTe3Ir crystal.

The space group is Cmcm (No. 63) and the conventional cell measures 3.9852, 14.7634 and 11.0819 Å, with angles of 90.00, 90.00 and 90.00 degrees. The distinct sites, in fractional coordinates, are Tl at (0.0000, 0.2347, 0.2500), Ag at (0.0000, 0.1120, 0.7500), Te at (0.0000, 0.1205, 0.5052), Te at (0.0000, 0.4619, 0.7500) and Ir at (0.0000, 0.5000, 0.0000).

For the total magnetic moment, the calculation gives 0.0 μB per formula unit.

=====

Record 5
DFT (PBE) results for a relaxed TlAgIr crystal.

The space group is F-43m (No. 216) and the conventional cell measures 6.3586, 6.3586 and 6.3586 Å, with angles of 90.00, 90.00 and 90.00 degrees. The distinct sites, in fractional coordinates, are Tl at (0.0000, 0.0000, 0.0000), Ag at (0.2500, 0.2500, 0.7500) and Ir at (0.2500, 0.2500, 0.2500).

For the total magnetic moment, the calculation gives 0.0 μB per formula unit.

=====

Record 6
DFT (PBE) results for a relaxed TlAgIr2 crystal.

The space group is F-43m (No. 216) and the conventional cell measures 6.5168, 6.5168 and 6.5168 Å, with angles of 90.00, 90.00 and 90.00 degrees. The distinct sites, in fractional coordinates, are Tl at (0.0000, 0.0000, 0.0000), Ag at (0.2500, 0.2500, 0.2500), Ir at (0.0000, 0.0000, 0.5000) and Ir at (0.2500, 0.2500, 0.7500).

For the total magnetic moment, the calculation gives 1.1 μB per formula unit.

=====

Record 7
DFT (PBE) results for a relaxed TlAg2Ir crystal.

The space group is F-43m (No. 216) and the conventional cell measures 6.5946, 6.5946 and 6.5946 Å, with angles of 90.00, 90.00 and 90.00 degrees. The distinct sites, in fractional coordinates, are Tl at (0.0000, 0.0000, 0.0000), Ag at (0.0000, 0.0000, 0.5000), Ag at (0.2500, 0.2500, 0.7500) and Ir at (0.2500, 0.2500, 0.2500).

For the total magnetic moment, the calculation gives 0.0 μB per formula unit.

=====

Record 8
DFT (PBE) results for a relaxed Y2TmTl3AgIr2 crystal.

The space group is Amm2 (No. 38) and the conventional cell measures 3.7852, 13.5332 and 7.8870 Å, with angles of 90.00, 90.00 and 90.00 degrees. The distinct sites, in fractional coordinates, are Y at (0.0000, 0.2056, 0.0000), Tm at (0.0000, 0.0000, 0.3813), Tl at (0.5000, 0.0000, 0.0653), Tl at (0.5000, 0.1362, 0.6591), Ag at (0.0000, 0.0000, 0.7928) and Ir at (0.5000, 0.1635, 0.2968).

For the total magnetic moment, the calculation gives 0.0 μB per formula unit.

=====

Record 9
DFT (PBE) results for a relaxed UAgIr crystal.

The space group is F-43m (No. 216) and the conventional cell measures 6.5193, 6.5193 and 6.5193 Å, with angles of 90.00, 90.00 and 90.00 degrees. The distinct sites, in fractional coordinates, are U at (0.0000, 0.0000, 0.0000), Ag at (0.2500, 0.2500, 0.2500) and Ir at (0.2500, 0.2500, 0.7500).

For the total magnetic moment, the calculation gives 2.0 μB per formula unit. The calculation puts the energy relative to the lowest polymorph listed for this composition at 337 meV per atom.

=====

Record 10
DFT (PBE) results for a relaxed UAgIr crystal.

The space group is F-43m (No. 216) and the conventional cell measures 6.4916, 6.4916 and 6.4916 Å, with angles of 90.00, 90.00 and 90.00 degrees. The distinct sites, in fractional coordinates, are U at (0.0000, 0.0000, 0.0000), Ag at (0.0000, 0.0000, 0.5000) and Ir at (0.2500, 0.2500, 0.7500).

For the total magnetic moment, the calculation gives 2.2 μB per formula unit. The calculation puts the energy relative to the lowest polymorph listed for this composition at 0 meV per atom.

=====

Record 11
DFT (PBE) results for a relaxed Ag2IrW crystal.

The space group is F-43m (No. 216) and the conventional cell measures 6.3686, 6.3686 and 6.3686 Å, with angles of 90.00, 90.00 and 90.00 degrees. The distinct sites, in fractional coordinates, are Ag at (0.0000, 0.0000, 0.0000), Ag at (0.2500, 0.2500, 0.2500), Ir at (0.2500, 0.2500, 0.7500) and W at (0.0000, 0.0000, 0.5000).

For the total magnetic moment, the calculation gives 0.8 μB per formula unit.

=====

Record 12
DFT (PBE) results for a relaxed AgIrW crystal.

The space group is F-43m (No. 216) and the conventional cell measures 6.0760, 6.0760 and 6.0760 Å, with angles of 90.00, 90.00 and 90.00 degrees. The distinct sites, in fractional coordinates, are Ag at (0.0000, 0.0000, 0.0000), Ir at (0.2500, 0.2500, 0.2500) and W at (0.0000, 0.0000, 0.5000).

For the total magnetic moment, the calculation gives 0.4 μB per formula unit. The calculation puts the energy relative to the lowest polymorph listed for this composition at 0 meV per atom.

=====

Record 13
DFT (PBE) results for a relaxed Y2AgIr crystal.

The space group is Pnma (No. 62) and the conventional cell measures 7.0773, 7.1351 and 6.8285 Å, with angles of 90.00, 90.00 and 90.00 degrees. The distinct sites, in fractional coordinates, are Y at (0.2502, 0.0010, 0.2500), Ag at (0.0007, 0.2500, 0.5018) and Ir at (0.0006, 0.7500, 0.0007).

For the total magnetic moment, the calculation gives 0.0 μB per formula unit.

=====

Record 14
DFT (PBE) results for a relaxed Y2AgIr crystal.

The space group is P4/mmm (No. 123) and the conventional cell measures 3.4944, 3.4944 and 7.2686 Å, with angles of 90.00, 90.00 and 90.00 degrees. The distinct sites, in fractional coordinates, are Y at (0.0000, 0.0000, 0.2286), Ag at (0.5000, 0.5000, 0.5000) and Ir at (0.5000, 0.5000, 0.0000).

For the total magnetic moment, the calculation gives 0.0 μB per formula unit.

=====

Record 15
DFT (PBE) results for a relaxed Y2AgIr crystal.

The space group is F-43m (No. 216) and the conventional cell measures 6.8951, 6.8951 and 6.8951 Å, with angles of 90.00, 90.00 and 90.00 degrees. The distinct sites, in fractional coordinates, are Y at (0.0000, 0.0000, 0.0000), Y at (0.2500, 0.2500, 0.2500), Ag at (0.2500, 0.2500, 0.7500) and Ir at (0.0000, 0.0000, 0.5000).

For the total magnetic moment, the calculation gives 0.0 μB per formula unit.

=====

Record 16
DFT (PBE) results for a relaxed Y2AgIr crystal.

The space group is I4/mmm (No. 139) and the conventional cell measures 4.9764, 4.9764 and 7.0284 Å, with angles of 90.00, 90.00 and 90.00 degrees. The distinct sites, in fractional coordinates, are Y at (0.0000, 0.5000, 0.2500), Ag at (0.0000, 0.0000, 0.0000) and Ir at (0.0000, 0.0000, 0.5000).

For the total magnetic moment, the calculation gives 0.0 μB per formula unit.

=====

Record 17
DFT (PBE) results for a relaxed Zn6AgIr crystal.

The space group is Pmm2 (No. 25) and the conventional cell measures 4.3720, 5.4074 and 4.8873 Å, with angles of 90.00, 90.00 and 90.00 degrees. The distinct sites, in fractional coordinates, are Zn at (0.0000, 0.0000, 0.0000), Zn at (0.0000, 0.2459, 0.4808), Zn at (0.5000, 0.2369, 0.8019), Zn at (0.5000, 0.5000, 0.3051), Ag at (0.0000, 0.5000, 0.9793) and Ir at (0.5000, 0.0000, 0.3079).

For the total magnetic moment, the calculation gives 0.0 μB per formula unit.

=====

Record 18
DFT (PBE) results for a relaxed ZnAg2Ir crystal.

The space group is F-43m (No. 216) and the conventional cell measures 6.3455, 6.3455 and 6.3455 Å, with angles of 90.00, 90.00 and 90.00 degrees. The distinct sites, in fractional coordinates, are Zn at (0.0000, 0.0000, 0.0000), Ag at (0.0000, 0.0000, 0.5000), Ag at (0.2500, 0.2500, 0.7500) and Ir at (0.2500, 0.2500, 0.2500).

For the total magnetic moment, the calculation gives 0.0 μB per formula unit.

=====

Record 19
DFT (PBE) results for a relaxed K4Ag crystal.

The space group is I4_1/amd (No. 141, origin choice 2) and the conventional cell measures 11.0210, 11.0210 and 9.3649 Å, with angles of 90.00, 90.00 and 90.00 degrees. The distinct sites, in fractional coordinates, are K at (0.0000, 0.0546, 0.2037) and Ag at (0.0000, 0.2500, 0.8750).

=====

Record 20
DFT (PBE) results for a relaxed K2Ag crystal.

The space group is Fd-3m (No. 227, origin choice 2) and the conventional cell measures 10.1132, 10.1132 and 10.1132 Å, with angles of 90.00, 90.00 and 90.00 degrees. The distinct sites, in fractional coordinates, are K at (0.0000, 0.0000, 0.0000) and Ag at (0.1250, 0.1250, 0.6250).

=====

Calculated total energy in eV per atom, matching the order above: -3.764; -5.308; -3.517; -3.986; -3.937; -5.099; -3.860; -5.435; -7.151; -7.489; -6.315; -7.493; -6.714; -6.751; -6.367; -6.752; -2.527; -3.766; -1.411; -1.272
Volume in Å³/atom, matching the order above: 21.40; 17.44; 32.57; 27.17; 21.42; 17.30; 17.92; 22.45; 23.09; 22.80; 16.14; 18.69; 21.55; 22.19; 20.49; 21.76; 14.44; 15.97; 56.87; 43.10